Below is crystalline TmZn2SnPt4 at its relaxed geometry, with properties calculated at the PBE-GGA level. Values from VASP.

```
&SYSTEM
  ibrav = 0, nat = 8, ntyp = 4
/
ATOMIC_SPECIES
Tm 168.93 Tm.upf
Zn 65.41 Zn.upf
Sn 118.71 Sn.upf
Pt 195.08 Pt.upf
CELL_PARAMETERS angstrom
4.5832 0.0000 0.0000
0.0000 4.5832 0.0000
0.0000 0.0000 6.5454
ATOMIC_POSITIONS crystal
Tm 0.0000 0.0000 0.0000
Zn 0.0000 0.0000 0.5000
Zn 0.5000 0.5000 0.0000
Sn 0.5000 0.5000 0.5000
Pt 0.0000 0.5000 0.2635
Pt 0.0000 0.5000 0.7365
Pt 0.5000 0.0000 0.2635
Pt 0.5000 0.0000 0.7365
```

Values from the calculation:
Its space-group type is P4/mmm. The calculation puts the total energy at -5.055 eV/atom.